First-principles (PBE-GGA) data for an optimized crystal structure of DyErCu, as listed in the Alexandria database.

Crystal system: monoclinic
Formation enthalpy at 0 K, eV/atom: -0.153
SG: C2/m, No. 12

Cell and atoms, written as extended XYZ:
```
6
Lattice="-2.5221 2.6723 0.0736 -0.8152 1.5853 6.2629 3.5088 5.8122 0.9675" Properties=species:S:1:pos:R:3 pbc="T T T"
Cu 0.0928 7.2924 2.4379
Cu -1.7014 3.0665 2.6360
Dy -1.6248 5.6267 4.0616
Dy 0.0163 4.7322 1.0124
Er -0.8967 1.3658 0.1937
Er 1.8102 6.3208 4.8066
```

First-principles (PBE-GGA) data for an optimized crystal structure of PrGaSn2, as listed in the Alexandria database.

Crystal system: tetragonal
Formation enthalpy at 0 K, eV/atom: -0.371
SG: P4/mmm, No. 123

Cell and atoms, written as extended XYZ:
```
4
Lattice="3.9068 0.0000 0.0000 0.0000 3.9068 0.0000 0.0000 0.0000 6.8079" Properties=species:S:1:pos:R:3 pbc="T T T"
Sn 0.0000 0.0000 5.3518
Sn 0.0000 0.0000 1.4561
Ga 1.9534 1.9534 0.0000
Pr 1.9534 1.9534 3.4039
```

First-principles (PBE-GGA) data for an optimized crystal structure of LiAlTlCu2, as listed in the Alexandria database.

Crystal system: tetragonal
Formation enthalpy at 0 K, eV/atom: 0.615
SG: P4/mmm, No. 123

Cell and atoms, written as extended XYZ:
```
5
Lattice="4.3890 0.0000 0.0000 0.0000 4.7312 0.0000 0.0000 0.0000 4.3890" Properties=species:S:1:pos:R:3 pbc="T T T"
Cu 0.0000 0.0000 2.1945
Cu 2.1945 0.0000 0.0000
Al 2.1945 2.3656 2.1945
Li 0.0000 0.0000 0.0000
Tl 0.0000 2.3656 0.0000
```

First-principles (PBE-GGA) data for an optimized crystal structure of Tb8AlZn2, as listed in the Alexandria database.

Crystal system: monoclinic
Formation enthalpy at 0 K, eV/atom: -0.064
SG: C2/m, No. 12

Cell and atoms, written as extended XYZ:
```
11
Lattice="-1.1251 1.0676 -5.1323 -6.7542 -4.2681 2.1243 0.6055 7.6813 2.9966" Properties=species:S:1:pos:R:3 pbc="T T T"
Tb -5.0317 5.1009 -0.4582
Tb -6.7828 2.2578 -0.6658
Tb -4.0905 2.4064 1.5479
Tb -5.6478 -1.0245 -0.2440
Tb -3.1833 2.0744 -1.5593
Tb -2.2421 -0.6201 0.4468
Tb -1.6260 5.5053 0.2326
Tb -0.4910 2.2230 0.6544
Al -0.5625 0.5338 -2.5661
Zn -1.6589 4.0048 2.7282
Zn -4.4898 -0.5915 2.3927
```

First-principles (PBE-GGA) data for an optimized crystal structure of ThAs2PdRh5, as listed in the Alexandria database.

Crystal system: tetragonal
Formation enthalpy at 0 K, eV/atom: -0.456
SG: P4/mmm, No. 123

Cell and atoms, written as extended XYZ:
```
9
Lattice="4.1511 0.0000 0.0000 0.0000 4.1511 0.0000 0.0000 0.0000 9.0156" Properties=species:S:1:pos:R:3 pbc="T T T"
Rh 2.0755 0.0000 6.6310
Rh 2.0755 0.0000 2.3846
Rh 2.0755 2.0755 4.5078
Rh 0.0000 2.0755 6.6310
Rh 0.0000 2.0755 2.3846
As 2.0755 2.0755 7.8087
As 2.0755 2.0755 1.2069
Pd 0.0000 0.0000 0.0000
Th 0.0000 0.0000 4.5078
```

First-principles (PBE-GGA) data for an optimized crystal structure of KSn2Hg2, as listed in the Alexandria database.

Crystal system: tetragonal
Formation enthalpy at 0 K, eV/atom: -0.155
SG: I4/mmm, No. 139

Cell and atoms, written as extended XYZ:
```
5
Lattice="-4.0765 0.4546 2.4212 -2.1041 -3.0771 -2.9649 -1.2887 -6.3837 3.7138" Properties=species:S:1:pos:R:3 pbc="T T T"
Hg -4.7591 -6.6246 2.6009
Hg -2.7101 -2.3816 0.5691
Sn -3.2416 -5.3860 0.2385
Sn -4.2277 -3.6202 2.9316
K 0.0000 0.0000 0.0000
```

First-principles (PBE-GGA) data for an optimized crystal structure of AlH2S, as listed in the Alexandria database.

Crystal system: tetragonal
SG: I4_1/amd, No. 141
Total DFT energy (no corrections), eV/atom: -3.4922

Cell and atoms, written as extended XYZ:
```
8
Lattice="-1.8016 1.8905 -2.1692 -0.2833 -2.6634 -2.0859 -7.1519 -2.3621 1.2248" Properties=species:S:1:pos:R:3 pbc="T T T"
H -2.6407 -1.5462 -1.8110
H -2.4989 -0.2146 -0.7679
H -6.2166 -2.7274 -1.1986
H -7.1174 -1.7820 -2.2831
Al -1.0424 -0.3865 -2.1275
Al -4.2388 -2.7060 -1.4943
S 0.0000 0.0000 0.0000
S -4.9980 -0.4290 -1.5360
```

First-principles (PBE-GGA) data for an optimized crystal structure of CaAc4Sm4, as listed in the Alexandria database.

Crystal system: tetragonal
Formation enthalpy at 0 K, eV/atom: 0.044
SG: I4/mmm, No. 139

Cell and atoms, written as extended XYZ:
```
9
Lattice="5.1357 0.0000 1.7392 2.5678 8.0843 0.8696 -0.0253 0.0000 8.5267" Properties=species:S:1:pos:R:3 pbc="T T T"
Ca 0.0000 0.0000 0.0000
Sm 6.0012 2.7776 7.6355
Sm 1.6770 5.3067 3.5000
Sm 3.4335 5.3071 6.7655
Sm 4.2447 2.7772 4.3700
Ac 5.9946 8.0839 7.6550
Ac 2.5427 2.7566 9.3959
Ac 5.1356 5.3277 1.7396
Ac 1.6836 0.0004 3.4806
```

First-principles (PBE-GGA) data for an optimized crystal structure of AlPbBrN2, as listed in the Alexandria database.

Crystal system: tetragonal
SG: P4/mmm, No. 123
Formation energy (no corrections), kJ per mole of atoms: 140.1

Cell and atoms, written as extended XYZ:
```
5
Lattice="4.4925 0.0000 0.0000 0.0000 6.2619 0.0000 0.0000 0.0000 4.4925" Properties=species:S:1:pos:R:3 pbc="T T T"
Pb 0.0000 0.0000 0.0000
Br 0.0000 3.1310 0.0000
N 0.0000 0.0000 2.2463
N 2.2463 0.0000 0.0000
Al 2.2463 3.1310 2.2463
```

First-principles (PBE-GGA) data for an optimized crystal structure of Cs2Rb8As, as listed in the Alexandria database.

Crystal system: trigonal
Formation enthalpy at 0 K, eV/atom: -0.029
SG: P-3m1, No. 164

Cell and atoms, written as extended XYZ:
```
11
Lattice="11.1072 0.0000 0.0000 0.0000 8.7007 -5.0233 0.0000 0.0000 10.0467" Properties=species:S:1:pos:R:3 pbc="T T T"
Cs 4.5315 2.9002 5.0234
Cs 6.5757 5.8005 0.0000
Rb 7.8270 1.2647 2.1905
Rb 0.0376 2.9002 5.0234
Rb 3.2802 7.4360 -2.8328
Rb 7.8270 6.1713 5.0233
Rb 11.0696 5.8005 0.0000
Rb 3.2802 2.5294 0.0000
Rb 3.2802 7.4360 2.8328
Rb 7.8270 1.2647 7.8562
As 5.5536 0.0000 0.0000
```

First-principles (PBE-GGA) data for an optimized crystal structure of PrDy4TmS8, as listed in the Alexandria database.

Crystal system: trigonal
SG: R3m, No. 160
Formation energy (no corrections), kJ per mole of atoms: -185.6

Cell and atoms, written as extended XYZ:
```
14
Lattice="-7.1178 2.8264 -2.6339 -1.4321 0.5885 -7.9494 -5.2745 -4.9828 -3.5441" Properties=species:S:1:pos:R:3 pbc="T T T"
S -4.0399 -0.1718 -7.5359
S -7.8319 1.3339 -8.9391
S -10.3216 -1.0578 -10.5952
S -9.8506 -1.3340 -6.5751
S -6.7172 -2.5673 -9.5044
S -3.5386 -0.6002 -3.5324
S -7.0689 1.0204 -4.7041
S -5.9280 -2.8916 -5.1235
Dy -6.0081 1.4986 -7.0576
Dy -11.1768 0.9229 -12.3440
Dy -10.4654 0.6305 -8.3949
Dy -7.6408 -0.4812 -11.0355
Pr -7.8168 -3.0676 -7.0698
Tm -8.5544 3.4037 -10.5833
```

First-principles (PBE-GGA) data for an optimized crystal structure of BaZr2F, as listed in the Alexandria database.

Crystal system: cubic
SG: Fm-3m, No. 225
Formation energy (no corrections), kJ per mole of atoms: 50.1

Cell and atoms, written as extended XYZ:
```
4
Lattice="2.2631 -3.7049 2.6099 3.1891 1.1389 3.7673 -1.3337 -0.8930 4.8045" Properties=species:S:1:pos:R:3 pbc="T T T"
Zr 3.0889 -2.5943 8.3863
Zr 1.0296 -0.8648 2.7954
Ba 2.0592 -1.7295 5.5908
F 0.0000 0.0000 0.0000
```

First-principles (PBE-GGA) data for an optimized crystal structure of TlHgPdBr5, as listed in the Alexandria database.

Crystal system: monoclinic
SG: C2/c, No. 15
Formation energy (no corrections), kJ per mole of atoms: -41.6

Cell and atoms, written as extended XYZ:
```
16
Lattice="7.6263 0.0625 0.0258 -2.1664 7.3124 0.0258 -2.2322 -3.0151 9.5922" Properties=species:S:1:pos:R:3 pbc="T T T"
Br 5.4264 -1.8097 7.2200
Br -2.8453 2.3556 8.8789
Br -2.1988 6.1694 2.4239
Br -0.9721 4.8858 5.5611
Br 4.1997 -0.5261 4.0828
Br 6.0729 2.0041 0.7650
Br -0.1954 0.9260 5.3191
Br 1.1688 2.7687 9.1209
Br 2.0588 1.5910 0.5230
Br 3.4230 3.4337 4.3248
Hg -0.7408 2.7561 7.2200
Hg 3.9684 1.6036 2.4239
Pd 0.0000 0.0000 0.0000
Pd -1.1161 -1.5076 4.7961
Tl 0.4668 4.1959 2.4239
Tl 2.7608 0.1637 7.2200
```

First-principles (PBE-GGA) data for an optimized crystal structure of CaBAs2Se, as listed in the Alexandria database.

Crystal system: tetragonal
SG: P4/mmm, No. 123
Formation energy (no corrections), kJ per mole of atoms: 8.1

Cell and atoms, written as extended XYZ:
```
5
Lattice="-2.3836 1.6154 -3.1289 -2.9881 -2.9270 0.7651 -2.5807 3.6397 3.8451" Properties=species:S:1:pos:R:3 pbc="T T T"
As -1.4940 -1.4635 0.3826
As -1.1918 0.8077 -1.5645
B 0.0000 0.0000 0.0000
Ca -3.9762 1.1641 0.7406
Se -1.2903 1.8198 1.9225
```

First-principles (PBE-GGA) data for an optimized crystal structure of Sm3SiPt2, as listed in the Alexandria database.

Crystal system: orthorhombic
SG: Pnma, No. 62
Formation energy (no corrections), kJ per mole of atoms: -93.9

Cell and atoms, written as extended XYZ:
```
24
Lattice="4.1265 0.0000 0.0000 0.0000 11.9742 0.0000 0.0000 0.0000 11.7662" Properties=species:S:1:pos:R:3 pbc="T T T"
Pt 1.0316 8.2603 5.6061
Pt 1.0316 9.7010 11.4893
Pt 3.0949 3.7139 6.1601
Pt 3.0949 6.1873 2.1916
Pt 1.0316 0.2002 3.6915
Pt 3.0949 11.7740 8.0747
Pt 3.0949 2.2732 0.2770
Pt 1.0316 5.7869 9.5747
Sm 1.0316 1.4403 6.5703
Sm 3.0949 11.2908 1.4166
Sm 3.0949 2.3126 3.5548
Sm 3.0949 7.4274 11.0790
Sm 1.0316 5.3037 4.4666
Sm 1.0316 8.2997 2.3283
Sm 1.0316 9.6616 8.2114
Sm 3.0949 3.6745 9.4379
Sm 1.0316 0.6834 10.3497
Sm 3.0949 6.6705 7.2997
Sm 3.0949 10.5339 5.1959
Sm 1.0316 4.5468 0.6872
Si 3.0949 10.3778 10.3239
Si 1.0316 1.5964 1.4423
Si 1.0316 4.3907 7.3254
Si 3.0949 7.5835 4.4408
```

First-principles (PBE-GGA) data for an optimized crystal structure of Dy3YEr6Sc2, as listed in the Alexandria database.

Crystal system: monoclinic
Formation enthalpy at 0 K, eV/atom: 0.038
SG: C2/m, No. 12

Cell and atoms, written as extended XYZ:
```
12
Lattice="-0.4522 0.1407 -6.0135 -4.5956 -2.0648 3.3173 -2.6246 11.1248 1.4641" Properties=species:S:1:pos:R:3 pbc="T T T"
Er -1.2092 2.6152 -1.8848
Er -6.4631 6.5855 0.6525
Er -3.2657 7.9096 0.4194
Er -5.0697 7.3272 -2.4853
Er -4.4066 1.2911 -1.6516
Er -2.6026 1.8735 1.2531
Dy -3.8361 4.6004 -0.6161
Dy -2.4556 5.3352 -3.7251
Dy -5.2167 3.8655 2.4929
Y 0.0000 0.0000 0.0000
Sc -3.2149 -1.3299 0.2080
Sc -1.8328 -0.5942 -2.9043
```

First-principles (PBE-GGA) data for an optimized crystal structure of K2LiCd2, as listed in the Alexandria database.

Crystal system: tetragonal
Formation enthalpy at 0 K, eV/atom: -0.005
SG: P4/mbm, No. 127

Cell and atoms, written as extended XYZ:
```
10
Lattice="7.9029 0.0000 0.0000 0.0000 7.9029 0.0000 0.0000 0.0000 5.7758" Properties=species:S:1:pos:R:3 pbc="T T T"
K 5.3431 6.5112 2.8879
K 2.5597 1.3917 2.8879
K 1.3917 5.3431 2.8879
K 6.5112 2.5597 2.8879
Cd 6.8479 5.0064 0.0000
Cd 1.0550 2.8965 0.0000
Cd 5.0064 1.0550 0.0000
Cd 2.8965 6.8479 0.0000
Li 3.9514 3.9514 0.0000
Li 0.0000 0.0000 0.0000
```

First-principles (PBE-GGA) data for an optimized crystal structure of Tb3Th, as listed in the Alexandria database.

Crystal system: hexagonal
Formation enthalpy at 0 K, eV/atom: 0.059
SG: P6_3/mmc, No. 194

Cell and atoms, written as extended XYZ:
```
8
Lattice="3.6043 -6.2428 0.0000 3.6043 6.2428 0.0000 0.0000 0.0000 5.7787" Properties=species:S:1:pos:R:3 pbc="T T T"
Tb 3.6043 4.1491 1.4447
Tb 1.8132 1.0469 1.4447
Tb 1.8132 -1.0469 4.3340
Tb 3.6043 -4.1491 4.3340
Tb 5.3953 1.0469 1.4447
Tb 5.3953 -1.0469 4.3340
Th 3.6043 2.0809 4.3340
Th 3.6043 -2.0809 1.4447
```

First-principles (PBE-GGA) data for an optimized crystal structure of RbScAg2Br6, as listed in the Alexandria database.

Crystal system: monoclinic
SG: C2/c, No. 15
Formation energy (no corrections), kJ per mole of atoms: -108.5

Cell and atoms, written as extended XYZ:
```
20
Lattice="8.7141 0.1696 0.1760 2.9870 9.4609 0.1969 2.9870 -0.1539 9.4617" Properties=species:S:1:pos:R:3 pbc="T T T"
Br 12.3289 3.7230 8.2046
Br 4.0740 6.7937 5.2412
Br 6.2570 4.4060 2.7633
Br 6.8248 8.9326 7.9451
Br 3.5062 1.7832 0.5257
Br 7.8633 0.5440 1.8895
Br 7.9718 7.9762 3.9365
Br 8.4311 5.0706 7.0713
Br 10.6141 2.6829 4.5934
Br 6.7163 1.5005 5.8981
Br 11.1819 7.6934 9.3089
Br 2.3592 5.7537 1.6300
Rb 5.1655 7.8972 1.7885
Rb 9.5226 1.5794 8.0461
Sc 9.5226 7.8929 1.9624
Sc 5.1655 1.5838 7.8722
Ag 3.7871 4.1970 3.6921
Ag 6.5439 5.8578 5.4156
Ag 8.1441 3.6188 4.4190
Ag 10.9010 5.2796 6.1425
```

First-principles (PBE-GGA) data for an optimized crystal structure of KCa2Re, as listed in the Alexandria database.

Crystal system: tetragonal
Formation enthalpy at 0 K, eV/atom: 0.983
SG: P4mm, No. 99

Cell and atoms, written as extended XYZ:
```
4
Lattice="-1.2176 -1.4766 -2.4898 -2.0158 -1.5060 1.8789 -7.9289 8.8801 -1.3891" Properties=species:S:1:pos:R:3 pbc="T T T"
Ca -7.5310 8.4345 -1.3194
Ca -3.4381 0.5486 -0.6245
Re -7.7470 5.3744 -1.3795
K -4.3396 4.8602 -0.7603
```

First-principles (PBE-GGA) data for an optimized crystal structure of TiCdPO2, as listed in the Alexandria database.

Crystal system: tetragonal
SG: P4/mmm, No. 123
Formation energy (no corrections), kJ per mole of atoms: -128.7

Cell and atoms, written as extended XYZ:
```
5
Lattice="3.7999 0.0000 0.0000 0.0000 3.7999 0.0000 0.0000 0.0000 5.3780" Properties=species:S:1:pos:R:3 pbc="T T T"
Cd 1.9000 1.9000 2.6890
O 1.9000 0.0000 0.0000
O 0.0000 1.9000 0.0000
Ti 0.0000 0.0000 0.0000
P 0.0000 0.0000 2.6890
```

First-principles (PBE-GGA) data for an optimized crystal structure of Nd6YSn4, as listed in the Alexandria database.

Crystal system: tetragonal
Formation enthalpy at 0 K, eV/atom: -0.368
SG: I-42m, No. 121

Cell and atoms, written as extended XYZ:
```
11
Lattice="-2.8442 7.4831 -2.2056 -1.0165 -3.0232 7.6667 8.0981 -1.5113 1.0428" Properties=species:S:1:pos:R:3 pbc="T T T"
Y 0.0000 0.0000 0.0000
Nd -0.6870 4.2947 0.0350
Nd 2.6019 0.1410 3.6125
Nd 6.1566 -2.7695 4.7259
Nd -1.9304 2.2299 2.7305
Nd 3.2475 -3.2521 6.8400
Nd 2.6270 2.9859 -0.5814
Sn 4.5663 -0.3138 6.2118
Sn 1.0799 2.3603 2.0247
Sn 0.7355 -2.1647 5.0152
Sn 4.9373 -1.4677 1.9616
```

First-principles (PBE-GGA) data for an optimized crystal structure of Y2Er6S3, as listed in the Alexandria database.

Crystal system: trigonal
SG: R-3m, No. 166
Formation energy (no corrections), kJ per mole of atoms: -99.3

Cell and atoms, written as extended XYZ:
```
11
Lattice="-2.5214 1.9738 -1.8746 -2.5636 -1.7324 -2.0480 -16.5161 -0.6471 17.8606" Properties=species:S:1:pos:R:3 pbc="T T T"
Y -13.3937 -0.3301 10.3228
Y -8.2073 -0.0755 3.6152
Er -8.1373 0.0916 0.0249
Er -17.1692 -0.5155 15.2057
Er -13.3390 -0.1638 6.7524
Er -8.2620 -0.2419 7.1856
Er -13.4638 -0.4973 13.9130
Er -4.4318 0.1098 -1.2677
S 0.0000 0.0000 0.0000
S -3.7185 -0.0189 1.3095
S -17.8825 -0.3868 12.6284
```